The following is a DFT calculation (GGA-PBE) of a geometry-optimized NaSnPbCl5 structure.

Computed properties:
Size of the total moment, Bohr magnetons per cell: 0.000
Raw formation energy, meV/atom: -1179
Crystal system: monoclinic

a b c (Å): 7.7696 7.7696 10.0502
angles (deg): 104.89 104.89 108.17
Closest atoms and distances in Å follow each position.
Element x y z (fractional)
Na  0.6792  0.3208  0.2500  4 Cl 2.62-2.66
Na  0.3208  0.6792  0.7500  4 Cl 2.62-2.66
Sn  0.0000  0.0000  0.5000  6 Cl 2.85-2.92
Sn  0.0000  0.0000  0.0000  6 Cl 2.85-2.92
Pb  0.3600  0.6400  0.2500  5 Cl 2.87-3.08
Pb  0.6400  0.3600  0.7500  5 Cl 2.87-3.08
Cl  0.1152  0.8848  0.2500  2 Sn 2.90, 1 Pb 3.08
Cl  0.8848  0.1152  0.7500  2 Sn 2.90, 1 Pb 3.08
Cl  0.9699  0.3437  0.1581  1 Na 2.62, 1 Sn 2.85, 1 Pb 2.91
Cl  0.0301  0.6563  0.8419  1 Na 2.62, 1 Sn 2.85, 1 Pb 2.91
Cl  0.6563  0.0301  0.3419  1 Na 2.62, 1 Sn 2.85, 1 Pb 2.91
Cl  0.3437  0.9699  0.6581  1 Na 2.62, 1 Sn 2.85, 1 Pb 2.91
Cl  0.6938  0.6310  0.4489  1 Na 2.66, 1 Pb 2.87, 1 Sn 2.92
Cl  0.3062  0.3690  0.5511  1 Na 2.66, 1 Pb 2.87, 1 Sn 2.92
Cl  0.3690  0.3062  0.0511  1 Na 2.66, 1 Pb 2.87, 1 Sn 2.92
Cl  0.6310  0.6938  0.9489  1 Na 2.66, 1 Pb 2.87, 1 Sn 2.92

***

The following is a DFT calculation (GGA-PBE) of a geometry-optimized Ba2SrRh structure.

Computed properties:
Size of the total moment, Bohr magnetons per cell: 0.000
Energy above the most stable polymorph in this dataset, kcal/mol of atoms: 4.65
Crystal system: tetragonal

a b c (Å): 10.9702 10.9702 8.3446
angles (deg): 48.90 48.90 90.00
Closest atoms and distances in Å follow each position.
Element x y z (fractional)
Sr  0.5000  0.5000  0.0000  2 Rh 3.08
Sr  0.2500  0.7500  0.5000  2 Rh 3.08
Rh  0.0000  0.0000  0.0000  2 Sr 3.08, 4 Ba 3.12
Rh  0.7500  0.2500  0.5000  2 Sr 3.08, 4 Ba 3.12
Ba  0.7596  0.1250  0.2500  2 Rh 3.12
Ba  0.9904  0.6250  0.2500  2 Rh 3.12
Ba  0.3750  0.2404  0.7500  2 Rh 3.12
Ba  0.8750  0.0096  0.7500  2 Rh 3.12

***

The following is a DFT calculation (GGA-PBE) of a geometry-optimized Dy3Ho6Tm structure.

Computed properties:
Size of the total moment, Bohr magnetons per cell: 0.000
Energy above the most stable polymorph in this dataset, kcal/mol of atoms: 0.00
Crystal system: orthorhombic

a b c (Å): 6.3032 11.4347 11.4347
angles (deg): 130.78 90.00 90.00
Closest atoms and distances in Å follow each position.
Element x y z (fractional)
Dy  0.4895  0.9589  0.7040  2 Dy 3.21-3.37, 5 Ho 3.22-3.53, 1 Tm 3.46
Dy  0.9895  0.7040  0.9589  2 Dy 3.21-3.37, 5 Ho 3.22-3.53, 1 Tm 3.46
Dy  0.0915  0.4205  0.5795  5 Ho 3.13-3.48, 2 Dy 3.37
Dy  0.5915  0.5795  0.4205  5 Ho 3.13-3.48, 2 Dy 3.37
Dy  0.9895  0.0411  0.2960  2 Dy 3.21-3.37, 5 Ho 3.22-3.53, 1 Tm 3.46
Dy  0.4895  0.2960  0.0411  2 Dy 3.21-3.37, 5 Ho 3.22-3.53, 1 Tm 3.46
Ho  0.0665  0.7435  0.6216  3 Dy 3.32-3.48, 4 Ho 3.48-3.63, 1 Tm 3.68
Ho  0.5665  0.6216  0.7435  3 Dy 3.32-3.48, 4 Ho 3.48-3.63, 1 Tm 3.68
Ho  0.3280  0.4573  0.8952  2 Dy 3.22-3.35, 3 Ho 3.36-3.53, 2 Tm 3.52-3.59
Ho  0.8280  0.8952  0.4573  2 Dy 3.22-3.35, 3 Ho 3.36-3.53, 2 Tm 3.52-3.59
Ho  0.3206  0.9852  0.0148  4 Ho 3.21-3.53, 1 Tm 3.28, 4 Dy 3.52-3.53
Ho  0.7888  0.3011  0.6989  1 Dy 3.13, 1 Tm 3.25, 2 Ho 3.38
Ho  0.2888  0.6989  0.3011  1 Dy 3.13, 1 Tm 3.25, 2 Ho 3.38
Ho  0.8206  0.0148  0.9852  4 Ho 3.21-3.53, 1 Tm 3.28, 4 Dy 3.52-3.53
Ho  0.3280  0.1048  0.5427  2 Dy 3.22-3.35, 3 Ho 3.36-3.53, 2 Tm 3.52-3.59
Ho  0.8280  0.5427  0.1048  2 Dy 3.22-3.35, 3 Ho 3.36-3.53, 2 Tm 3.52-3.59
Ho  0.0665  0.3784  0.2565  3 Dy 3.32-3.48, 4 Ho 3.48-3.63, 1 Tm 3.68
Ho  0.5665  0.2565  0.3784  3 Dy 3.32-3.48, 4 Ho 3.48-3.63, 1 Tm 3.68
Tm  0.0166  0.1609  0.8391  6 Ho 3.25-3.59, 2 Dy 3.46
Tm  0.5166  0.8391  0.1609  6 Ho 3.25-3.59, 2 Dy 3.46

***

The following is a DFT calculation (GGA-PBE) of a geometry-optimized NbNi7Sb2Pt2 structure.

Computed properties:
Size of the total moment, Bohr magnetons per cell: 0.000
Raw formation energy, meV/atom: -145
Crystal system: monoclinic

a b c (Å): 3.5816 3.5816 13.9772
angles (deg): 82.12 82.12 90.00
Closest atoms and distances in Å follow each position.
Element x y z (fractional)
Nb  0.0000  0.0000  0.0000  12 Ni 2.53-2.57
Ni  0.5000  0.5000  0.0000  4 Nb 2.53, 8 Ni 2.57
Ni  0.2652  0.2652  0.4657  1 Sb 2.44, 1 Pt 2.65, 3 Ni 2.67-2.70
Ni  0.7348  0.7348  0.5343  1 Sb 2.44, 1 Pt 2.65, 3 Ni 2.67-2.70
Ni  0.9283  0.4280  0.1342  6 Ni 2.53-2.57, 2 Nb 2.57, 2 Pt 2.61
Ni  0.4280  0.9283  0.1342  6 Ni 2.53-2.57, 2 Nb 2.57, 2 Pt 2.61
Ni  0.5720  0.0717  0.8658  6 Ni 2.53-2.57, 2 Nb 2.57, 2 Pt 2.61
Ni  0.0717  0.5720  0.8658  6 Ni 2.53-2.57, 2 Nb 2.57, 2 Pt 2.61
Sb  0.8089  0.8089  0.3569  1 Ni 2.44
Sb  0.1911  0.1911  0.6431  1 Ni 2.44
Pt  0.6460  0.6460  0.7277  5 Ni 2.61-2.65, 4 Sb 2.78-2.79
Pt  0.3540  0.3540  0.2723  5 Ni 2.61-2.65, 4 Sb 2.78-2.79